1.
DFT (PBE) results for crystalline TaCoSbPd at its relaxed geometry.

Cell: 4.527 4.527 4.527 Å, 60.00 60.00 60.00°
Each line ends with the local moment (μB).
Atoms (fractional coordinates):
Ta (0.250, 0.250, 0.250)  -0.10
Sb (0.000, 0.000, 0.000)  0.01
Pd (0.500, 0.500, 0.500)  0.00
Co (0.750, 0.750, 0.750)  0.83

Results
ρ   11.8 Mg/m³
Space-group type   No. 216
ΔE to the lowest computed polymorph   5.7 kJ/mol of atoms


2.
DFT (PBE) results for crystalline ZrSiNiPd at its relaxed geometry.

Cell: 4.421 4.421 4.421 Å, 60.00 60.00 60.00°
Atoms (fractional coordinates):
Pd (0.250, 0.250, 0.250)
Ni (0.750, 0.750, 0.750)
Si (0.000, 0.000, 0.000)
Zr (0.500, 0.500, 0.500)

Results
ρ   7.7 Mg/m³
Space-group type   No. 216
Energy   -6.74 eV/atom


3.
DFT (PBE) results for crystalline CsTaBeNi at its relaxed geometry.

Cell: 4.649 4.649 4.649 Å, 60.00 60.00 60.00°
Atoms (fractional coordinates):
Be (0.750, 0.750, 0.750)
Ni (0.500, 0.500, 0.500)
Ta (0.250, 0.250, 0.250)
Cs (0.000, 0.000, 0.000)

Results
ρ   8.9 Mg/m³
Space-group type   No. 216
ΔE to the lowest computed polymorph   0.0 kJ/mol of atoms


4.
DFT (PBE) results for crystalline PrTlMo at its relaxed geometry.

Cell: 5.098 5.098 5.098 Å, 60.00 60.00 60.00°
Atoms (fractional coordinates):
Mo (0.250, 0.250, 0.250)
Pr (0.000, 0.000, 0.000)
Tl (0.750, 0.750, 0.750)

Results
ρ   7.8 Mg/m³
Space-group type   No. 216
ΔE to the lowest computed polymorph   31.9 kJ/mol of atoms


5.
DFT (PBE) results for crystalline HoCoGe at its relaxed geometry.

Cell: 4.331 4.331 4.331 Å, 60.00 60.00 60.00°
Atoms (fractional coordinates):
Co (0.000, 0.000, 0.000)
Ho (0.750, 0.750, 0.750)
Ge (0.250, 0.250, 0.250)

Results
ρ   8.6 Mg/m³
Space-group type   No. 216
Energy   -5.79 eV/atom


6.
DFT (PBE) results for crystalline KAuI2Br at its relaxed geometry.

Cell: 8.253 8.253 8.253 Å, 119.84 119.84 90.27°
Atoms (fractional coordinates):
I (0.768, 0.768, 0.537)
I (0.768, 0.232, 0.000)
I (0.232, 0.232, 0.463)
I (0.232, 0.768, 0.000)
K (0.750, 0.250, 0.500)
K (0.250, 0.750, 0.500)
Au (0.500, 0.500, 0.000)
Au (0.000, 0.000, 0.000)
Br (0.288, 0.288, 0.000)
Br (0.712, 0.712, 0.000)

Results
ρ   4.7 Mg/m³
Space-group type   No. 139
Energy   -2.51 eV/atom


7.
DFT (PBE) results for crystalline Na4ZnSiPt2 at its relaxed geometry.

Cell: 4.646 4.646 6.494 Å, 90.00 90.00 90.00°
Atoms (fractional coordinates):
Pt (0.500, 0.000, 0.782)
Pt (0.000, 0.500, 0.218)
Na (0.000, 0.500, 0.742)
Na (0.500, 0.000, 0.258)
Na (0.000, 0.000, 0.000)
Na (0.500, 0.500, 0.500)
Si (0.500, 0.500, 0.000)
Zn (0.000, 0.000, 0.500)

Results
ρ   6.8 Mg/m³
Space-group type   No. 115
Energy   -3.14 eV/atom


8.
DFT (PBE) results for crystalline Zn2PH2CO7 at its relaxed geometry.

Cell: 7.785 4.763 15.274 Å, 90.00 114.50 90.00°
Atoms (fractional coordinates):
P (0.310, 0.976, 0.807)
P (0.690, 0.476, 0.693)
P (0.310, 0.524, 0.307)
P (0.690, 0.024, 0.193)
O (0.933, 0.739, 0.568)
O (0.655, 0.342, 0.777)
O (0.688, 0.800, 0.693)
O (0.887, 0.143, 0.209)
O (0.536, 0.138, 0.098)
O (0.933, 0.761, 0.068)
O (0.464, 0.638, 0.402)
O (0.655, 0.158, 0.277)
O (0.113, 0.857, 0.791)
O (0.688, 0.700, 0.193)
O (0.291, 0.668, 0.003)
O (0.464, 0.862, 0.902)
O (0.709, 0.332, 0.997)
O (0.312, 0.300, 0.807)
O (0.312, 0.200, 0.307)
O (0.165, 0.201, 0.093)
O (0.835, 0.799, 0.907)
O (0.345, 0.842, 0.723)
O (0.536, 0.362, 0.598)
O (0.835, 0.701, 0.407)
O (0.291, 0.832, 0.503)
O (0.165, 0.299, 0.593)
O (0.067, 0.261, 0.432)
O (0.067, 0.239, 0.932)
O (0.345, 0.658, 0.223)
O (0.709, 0.168, 0.497)
O (0.887, 0.357, 0.709)
O (0.113, 0.643, 0.291)
C (0.933, 0.875, 0.993)
C (0.933, 0.625, 0.493)
C (0.067, 0.125, 0.007)
C (0.067, 0.375, 0.507)
H (0.633, 0.257, 0.529)
H (0.792, 0.020, 0.540)
H (0.208, 0.520, 0.960)
H (0.633, 0.243, 0.029)
H (0.208, 0.980, 0.460)
H (0.792, 0.480, 0.040)
H (0.367, 0.757, 0.971)
H (0.367, 0.743, 0.471)
Zn (0.575, 0.518, 0.870)
Zn (0.108, 0.530, 0.696)
Zn (0.425, 0.018, 0.630)
Zn (0.575, 0.982, 0.370)
Zn (0.892, 0.030, 0.804)
Zn (0.892, 0.470, 0.304)
Zn (0.108, 0.970, 0.196)
Zn (0.425, 0.482, 0.130)

Results
ρ   3.7 Mg/m³
Space-group type   No. 14
Energy   -6.04 eV/atom


9.
DFT (PBE) results for crystalline PrHfPb at its relaxed geometry.

Cell: 5.231 5.231 5.231 Å, 60.00 60.00 60.00°
Atoms (fractional coordinates):
Pr (0.000, 0.000, 0.000)
Pb (0.750, 0.750, 0.750)
Hf (0.250, 0.250, 0.250)

Results
ρ   8.6 Mg/m³
Space-group type   No. 216
ΔE to the lowest computed polymorph   55.5 kJ/mol of atoms


10.
DFT (PBE) results for crystalline NdGa2Ir2 at its relaxed geometry.

Cell: 5.941 5.941 5.941 Å, 137.91 137.91 61.04°
Atoms (fractional coordinates):
Ir (0.750, 0.250, 0.500)
Ir (0.250, 0.750, 0.500)
Ga (0.376, 0.376, 0.000)
Ga (0.624, 0.624, 0.000)
Nd (0.000, 0.000, 0.000)

Results
ρ   11.9 Mg/m³
Space-group type   No. 139
Energy   -6.40 eV/atom


11.
DFT (PBE) results for crystalline NdGdCu2As4 at its relaxed geometry.

Cell: 3.961 3.961 10.040 Å, 90.00 90.00 90.00°
Atoms (fractional coordinates):
As (0.000, 0.000, 0.658)
As (0.000, 0.500, 0.995)
As (0.500, 0.000, 0.995)
As (0.500, 0.500, 0.349)
Cu (0.500, 0.000, 0.503)
Cu (0.000, 0.500, 0.503)
Nd (0.000, 0.000, 0.236)
Gd (0.500, 0.500, 0.760)

Results
ρ   7.7 Mg/m³
Space-group type   No. 99
Energy   -5.27 eV/atom


12.
DFT (PBE) results for crystalline DyPdNO at its relaxed geometry.

Cell: 4.159 4.279 7.066 Å, 90.00 90.00 90.00°
Atoms (fractional coordinates):
Dy (0.500, 0.440, 0.809)
Dy (0.500, 0.940, 0.191)
O (0.500, 0.441, 0.124)
O (0.500, 0.941, 0.876)
Pd (0.000, 0.436, 0.387)
Pd (0.000, 0.936, 0.613)
N (0.000, 0.937, 0.327)
N (0.000, 0.437, 0.673)

Results
ρ   7.9 Mg/m³
Space-group type   No. 26
ΔE to the lowest computed polymorph   18.5 kJ/mol of atoms


13.
DFT (PBE) results for crystalline Dy2Er3Hg3 at its relaxed geometry.

Cell: 5.562 6.421 6.421 Å, 70.28 90.00 90.00°
Atoms (fractional coordinates):
Hg (0.500, 0.208, 0.631)
Hg (0.000, 0.830, 0.830)
Hg (0.500, 0.631, 0.208)
Er (0.500, 0.141, 0.141)
Er (0.000, 0.319, 0.841)
Er (0.000, 0.841, 0.319)
Dy (0.500, 0.693, 0.693)
Dy (0.000, 0.338, 0.338)

Results
ρ   11.0 Mg/m³
Space-group type   No. 38
ΔE to the lowest computed polymorph   7.1 kJ/mol of atoms


14.
DFT (PBE) results for crystalline ErLuW at its relaxed geometry.

Cell: 4.863 4.863 4.863 Å, 60.00 60.00 60.00°
Atoms (fractional coordinates):
W (0.750, 0.750, 0.750)
Lu (0.250, 0.250, 0.250)
Er (0.000, 0.000, 0.000)

Results
ρ   10.7 Mg/m³
Space-group type   No. 216
Energy   -5.93 eV/atom


15.
DFT (PBE) results for crystalline TbHfNp at its relaxed geometry.

Cell: 4.998 4.998 4.998 Å, 60.00 60.00 60.00°
Atoms (fractional coordinates):
Np (0.250, 0.250, 0.250)
Tb (0.750, 0.750, 0.750)
Hf (0.000, 0.000, 0.000)

Results
ρ   10.8 Mg/m³
Space-group type   No. 216
Energy   -8.01 eV/atom


16.
DFT (PBE) results for crystalline TmScNO at its relaxed geometry.

Cell: 6.297 7.715 4.646 Å, 90.00 90.00 90.00°
Atoms (fractional coordinates):
O (0.089, 0.642, 0.551)
O (0.411, 0.642, 0.051)
O (0.911, 0.358, 0.051)
O (0.589, 0.358, 0.551)
Tm (0.437, 0.629, 0.551)
Tm (0.937, 0.371, 0.551)
Tm (0.063, 0.629, 0.051)
Tm (0.563, 0.371, 0.051)
N (0.078, 0.115, 0.551)
N (0.422, 0.115, 0.051)
N (0.922, 0.885, 0.051)
N (0.578, 0.885, 0.551)
Sc (0.412, 0.119, 0.550)
Sc (0.912, 0.881, 0.550)
Sc (0.588, 0.881, 0.050)
Sc (0.088, 0.119, 0.050)

Results
ρ   7.2 Mg/m³
Space-group type   No. 57
ΔE to the lowest computed polymorph   11.4 kJ/mol of atoms


17.
DFT (PBE) results for crystalline Cs2ReCl6 at its relaxed geometry.

Cell: 7.317 7.317 7.317 Å, 118.88 118.88 91.95°
Each line ends with the local moment (μB).
Atoms (fractional coordinates):
Cl (0.774, 0.774, 0.548)  0.05
Cl (0.234, 0.234, 0.000)  0.05
Cl (0.766, 0.766, 0.000)  0.05
Cl (0.774, 0.226, 0.000)  0.05
Cl (0.226, 0.774, 0.000)  0.05
Cl (0.226, 0.226, 0.452)  0.05
Cs (0.250, 0.750, 0.500)  0.01
Cs (0.750, 0.250, 0.500)  0.01
Re (0.000, 0.000, 0.000)  2.33

Results
ρ   3.9 Mg/m³
Space-group type   No. 139
Energy   -4.14 eV/atom


18.
DFT (PBE) results for crystalline PmGdZr at its relaxed geometry.

Cell: 5.219 5.219 5.219 Å, 60.00 60.00 60.00°
Atoms (fractional coordinates):
Pm (0.000, 0.000, 0.000)
Gd (0.250, 0.250, 0.250)
Zr (0.750, 0.750, 0.750)

Results
ρ   6.5 Mg/m³
Space-group type   No. 216
Energy   -5.01 eV/atom


19.
DFT (PBE) results for crystalline PuSc at its relaxed geometry.

Cell: 4.290 4.290 4.290 Å, 60.00 60.00 60.00°
Each line ends with the local moment (μB).
Atoms (fractional coordinates):
Sc (0.500, 0.500, 0.500)  0.71
Pu (0.000, 0.000, 0.000)  5.72

Results
ρ   8.6 Mg/m³
Space-group type   No. 225
ΔE to the lowest computed polymorph   70.1 kJ/mol of atoms


20.
DFT (PBE) results for crystalline Dy3CdHg5 at its relaxed geometry.

Cell: 8.988 8.988 6.299 Å, 90.00 90.00 60.00°
Atoms (fractional coordinates):
Hg (0.683, 0.000, 0.250)
Hg (0.317, 0.683, 0.250)
Hg (0.333, 0.333, 0.000)
Hg (0.000, 0.317, 0.250)
Hg (0.333, 0.333, 0.500)
Hg (0.000, 0.683, 0.750)
Hg (0.667, 0.667, 0.500)
Hg (0.683, 0.317, 0.750)
Hg (0.317, 0.000, 0.750)
Hg (0.667, 0.667, 0.000)
Dy (0.000, 0.652, 0.250)
Dy (0.348, 0.652, 0.750)
Dy (0.000, 0.348, 0.750)
Dy (0.652, 0.000, 0.750)
Dy (0.652, 0.348, 0.250)
Dy (0.348, 0.000, 0.250)
Cd (0.000, 0.000, 0.500)
Cd (0.000, 0.000, 0.000)

Results
ρ   12.1 Mg/m³
Space-group type   No. 193
Energy   -2.21 eV/atom


21.
DFT (PBE) results for crystalline CsDyTe at its relaxed geometry.

Cell: 5.586 5.586 5.586 Å, 60.00 60.00 60.00°
Each line ends with the local moment (μB).
Atoms (fractional coordinates):
Cs (0.500, 0.500, 0.500)  0.03
Dy (0.000, 0.000, 0.000)  0.36
Te (0.750, 0.750, 0.750)  -0.02

Results
ρ   5.7 Mg/m³
Space-group type   No. 216
Energy   -2.92 eV/atom


22.
DFT (PBE) results for crystalline YNbSb2Ir2 at its relaxed geometry.

Cell: 6.379 4.513 9.038 Å, 90.00 90.00 90.00°
Atoms (fractional coordinates):
Y (0.506, 0.500, 0.625)
Y (0.006, 0.000, 0.375)
Sb (0.985, 0.500, 0.126)
Sb (0.511, 0.000, 0.373)
Sb (0.485, 0.000, 0.874)
Sb (0.011, 0.500, 0.627)
Ir (0.772, 0.000, 0.647)
Ir (0.232, 0.500, 0.890)
Ir (0.272, 0.500, 0.353)
Ir (0.732, 0.000, 0.110)
Nb (0.494, 0.500, 0.120)
Nb (0.994, 0.000, 0.880)

Results
ρ   10.3 Mg/m³
Space-group type   No. 31
Energy   -7.84 eV/atom


23.
DFT (PBE) results for crystalline LiCoSiMo at its relaxed geometry.

Cell: 4.099 4.099 4.099 Å, 60.00 60.00 60.00°
Atoms (fractional coordinates):
Co (0.750, 0.750, 0.750)
Si (0.000, 0.000, 0.000)
Mo (0.250, 0.250, 0.250)
Li (0.500, 0.500, 0.500)

Results
ρ   6.5 Mg/m³
Space-group type   No. 216
ΔE to the lowest computed polymorph   4.9 kJ/mol of atoms


24.
DFT (PBE) results for crystalline NbTcAg2 at its relaxed geometry.

Cell: 4.571 4.571 4.571 Å, 60.00 60.00 60.00°
Atoms (fractional coordinates):
Tc (0.000, 0.000, 0.000)
Ag (0.750, 0.750, 0.750)
Ag (0.500, 0.500, 0.500)
Nb (0.250, 0.250, 0.250)

Results
ρ   10.0 Mg/m³
Space-group type   No. 216
Energy   -6.09 eV/atom